Computed, not measured: crystalline CrFe2Se at its relaxed geometry at the PBE level of DFT.

Computed properties:
* crystal system: tetragonal
* distance to the lowest polymorph of the same formula: 0.006 eV/atom
* calculated volume: 51.6 Å³/f.u.
* E: -29.2 eV for the cell shown

Geometry as extended XYZ:
```
4
Lattice="3.020 0.000 0.000 0.000 3.020 0.000 0.000 0.000 5.659" Properties=species:S:1:pos:R:3 pbc="T T T"
Cr 0.000 0.000 0.000
Fe 0.000 0.000 2.743
Fe 1.510 1.510 1.463
Se 1.510 1.510 4.291
```